No. 1
Entry from the Alexandria database: an optimized crystal structure of Cs2Pb3S4 (PBE-GGA).

Cell lengths 8.896, 8.896, 8.039 Å; angles 93.45, 93.45, 91.33 degrees
Element x y z (fractional)
Cs: 0.046 0.259 0.125
Cs: 0.259 0.046 0.625
Cs: 0.741 0.954 0.375
Cs: 0.954 0.741 0.875
Pb: 0.250 0.496 0.585
Pb: 0.296 0.704 0.250
Pb: 0.496 0.250 0.085
Pb: 0.504 0.750 0.915
Pb: 0.704 0.296 0.750
Pb: 0.750 0.504 0.415
S: 0.053 0.712 0.437
S: 0.271 0.518 0.922
S: 0.288 0.947 0.063
S: 0.482 0.729 0.578
S: 0.518 0.271 0.422
S: 0.712 0.053 0.937
S: 0.729 0.482 0.078
S: 0.947 0.288 0.563

Calculated values
DFT total energy   -71.0 eV/cell
Crystal system   monoclinic
Formation energy from raw total energies   -65.8 kJ per mole of atoms
Relative energy among the computed polymorphs   0 kJ/mol of formula units


No. 2
Entry from the Alexandria database: an optimized crystal structure of Cs5Pb2S5 (PBE-GGA).

Cell lengths 8.165, 8.165, 12.860 Å; angles 104.93, 104.93, 34.54 degrees
Element x y z (fractional)
Cs: 0.000 0.000 0.000
Cs: 0.158 0.158 0.566
Cs: 0.264 0.264 0.869
Cs: 0.736 0.736 0.131
Cs: 0.842 0.842 0.434
Pb: 0.461 0.461 0.701
Pb: 0.539 0.539 0.299
S: 0.134 0.134 0.285
S: 0.396 0.396 0.136
S: 0.500 0.500 0.500
S: 0.604 0.604 0.864
S: 0.866 0.866 0.715

Calculated values
DFT total energy   -42.7 eV/cell
Crystal system   monoclinic
Formation energy from raw total energies   -83.8 kJ per mole of atoms


No. 3
Entry from the Alexandria database: an optimized crystal structure of CsSbPb2S4 (PBE-GGA).

Cell lengths 8.641, 8.641, 8.641 Å; angles 121.21, 118.89, 89.92 degrees
Element x y z (fractional)
Cs: 0.500 0.000 0.000
Cs: 0.500 0.500 0.500
Sb: 0.000 0.000 0.000
Sb: 0.500 0.000 0.500
Pb: 0.000 0.000 0.500
Pb: 0.000 0.500 0.000
Pb: 0.000 0.500 0.500
Pb: 0.500 0.500 0.000
S: 0.200 0.227 0.973
S: 0.240 0.229 0.489
S: 0.240 0.751 0.011
S: 0.247 0.773 0.473
S: 0.753 0.227 0.527
S: 0.760 0.249 0.989
S: 0.760 0.771 0.511
S: 0.800 0.773 0.027

Calculated values
DFT total energy   -64.5 eV/cell
Crystal system   orthorhombic
Formation energy from raw total energies   -40.5 kJ per mole of atoms


- Which value of formation energy from raw total energies does entry 2 give?
  -83.8 kJ per mole of atoms